# Cs12NaHg5, relaxed, DFT PBE-GGA
# * total magnetic moment: 0.00 μB/f.u.
# * DOS at the Fermi energy: 29.512 states/eV per cell
# * energy relative to the elements: -232 kJ/mol of formula units
data_Cs12NaHg5
_space_group_name_H-M_alt 'I m m m'
_space_group_IT_number 71
_space_group_name_Hall '-I 2 2'
_cell_length_a 13.170
_cell_length_b 13.368
_cell_length_c 14.233
_cell_angle_alpha 90.00
_cell_angle_beta 90.00
_cell_angle_gamma 90.00
loop_
_atom_site_label
_atom_site_fract_x
_atom_site_fract_y
_atom_site_fract_z
Cs1 0.000 0.192 0.220
Cs2 0.194 0.500 0.175
Cs3 0.210 0.317 0.500
Na1 0.000 0.000 0.500
Hg1 0.000 0.000 0.000
Hg2 0.000 0.382 0.000
Hg3 0.000 0.500 0.391


# RbB3C3, relaxed, DFT PBE-GGA
# * total magnetic moment: 0.00 μB/f.u.
# * DOS at the Fermi energy: 6.608 states/eV per cell
# * energy relative to the elements: 489 kJ/mol of formula units
data_RbB3C3
_space_group_name_H-M_alt 'P m -3 n'
_space_group_IT_number 223
_space_group_name_Hall '-P 4n 2 3'
_cell_length_a 4.948
_cell_length_b 4.948
_cell_length_c 4.948
_cell_angle_alpha 90.00
_cell_angle_beta 90.00
_cell_angle_gamma 90.00
loop_
_atom_site_label
_atom_site_fract_x
_atom_site_fract_y
_atom_site_fract_z
Rb1 0.000 0.000 0.000
B1 0.000 0.250 0.500
C1 0.000 0.500 0.250


# VCo2Si2, relaxed, DFT PBE-GGA
# * total magnetic moment: 0.00 μB/f.u.
# * ΔE_f (raw): -472 meV/atom
# * DOS at the Fermi energy: 8.833 states/eV per cell
data_VCo2Si2
_space_group_name_H-M_alt 'P 4/m b m'
_space_group_IT_number 127
_space_group_name_Hall '-P 4 2ab'
_cell_length_a 6.716
_cell_length_b 6.716
_cell_length_c 2.554
_cell_angle_alpha 90.00
_cell_angle_beta 90.00
_cell_angle_gamma 90.00
loop_
_atom_site_label
_atom_site_fract_x
_atom_site_fract_y
_atom_site_fract_z
V1 0.000 0.000 0.000
Co1 0.148 0.352 0.500
Si1 0.149 0.649 0.000


# CaCdIN2, relaxed, DFT PBE-GGA
# * total magnetic moment: 2.50 μB/f.u.
# * ΔE_f (raw): 952 meV/atom
# * DOS at the Fermi energy: 3.602 states/eV per cell
# * energy above the lowest structure with this stoichiometry: 0 kJ/mol of formula units
data_CaCdIN2
_space_group_name_H-M_alt 'P 4/m m m'
_space_group_IT_number 123
_space_group_name_Hall '-P 4 2'
_cell_length_a 4.443
_cell_length_b 4.443
_cell_length_c 5.952
_cell_angle_alpha 90.00
_cell_angle_beta 90.00
_cell_angle_gamma 90.00
loop_
_atom_site_label
_atom_site_fract_x
_atom_site_fract_y
_atom_site_fract_z
Ca1 0.000 0.000 0.000
Cd1 0.500 0.500 0.500
I1 0.500 0.500 0.000
N1 0.000 0.500 0.500


DOS at the Fermi energy of number 3 (VCo2Si2)?
8.833 states/eV per cell


DOS at the Fermi energy of number 1 (Cs12NaHg5)?
29.512 states/eV per cell